{"formula": "BaIrSe", "functional": "PBE-GGA", "state": "relaxed", "cell": [[-1.664, -1.195, 4.419], [-0.993, -4.651, 1.053], [2.849, -2.459, 3.093]], "species": ["Ir", "Se", "Ba"], "frac_coords": [[0.750, 0.750, 0.750], [0.000, 0.000, 0.000], [0.500, 0.500, 0.500]], "raw_formation_energy_mev_per_atom": -13, "e_above_lowest_polymorph_ev_per_atom": 0.802, "crystal_system": "cubic", "sg": "F-43m, No. 216"}

=====

{"formula": "BaIrSe2", "functional": "PBE-GGA", "state": "relaxed", "cell": [[0.000, 3.603, 3.603], [3.603, 0.000, 3.603], [3.603, 3.603, 0.000]], "species": ["Ba", "Se", "Se", "Ir"], "frac_coords": [[0.000, 0.000, 0.000], [0.750, 0.750, 0.750], [0.250, 0.250, 0.250], [0.500, 0.500, 0.500]], "raw_formation_energy_mev_per_atom": -85, "e_above_lowest_polymorph_ev_per_atom": 0.758, "crystal_system": "cubic", "sg": "Fm-3m, No. 225"}

=====

{"formula": "BaIrSe2", "functional": "PBE-GGA", "state": "relaxed", "cell": [[-2.951, -3.807, 3.752], [5.624, 1.822, -1.526], [-0.337, 5.425, 5.239]], "species": ["Ir", "Se", "Se", "Ba"], "frac_coords": [[0.500, 0.500, 0.750], [0.000, 0.000, 0.558], [0.000, 0.000, 0.942], [0.500, 0.500, 0.250]], "raw_formation_energy_mev_per_atom": -444, "e_above_lowest_polymorph_ev_per_atom": 0.399, "crystal_system": "orthorhombic", "sg": "Cmmm, No. 65"}

=====

{"formula": "BaIr2Se", "functional": "PBE-GGA", "state": "relaxed", "cell": [[-3.607, 3.011, 0.256], [-1.388, -1.451, -2.494], [-3.111, -3.977, 2.937]], "species": ["Se", "Ba", "Ir", "Ir"], "frac_coords": [[0.500, 0.250, 0.250], [0.500, 0.750, 0.750], [0.000, 0.068, 0.068], [0.000, 0.432, 0.432]], "raw_formation_energy_mev_per_atom": 389, "crystal_system": "monoclinic", "sg": "P2/m, No. 10"}

=====

{"formula": "BaIrSe3", "functional": "PBE-GGA", "state": "relaxed", "cell": [[-4.994, -0.752, 0.356], [0.829, -4.688, 1.725], [0.074, 1.760, 4.747]], "species": ["Se", "Se", "Se", "Ba", "Ir"], "frac_coords": [[0.000, 0.500, 0.000], [0.500, 0.000, 0.000], [0.000, 0.000, 0.500], [0.500, 0.500, 0.500], [0.000, 0.000, 0.000]], "raw_formation_energy_mev_per_atom": -560, "crystal_system": "cubic", "sg": "Pm-3m, No. 221"}

=====

{"formula": "BaIrSe2", "functional": "PBE-GGA", "state": "relaxed", "cell": [[-3.559, -4.517, 2.712], [-1.482, -2.283, -5.747], [2.521, -7.238, -1.293]], "species": ["Ba", "Ba", "Se", "Se", "Se", "Se", "Ir", "Ir"], "frac_coords": [[0.500, 0.500, 0.000], [0.250, 0.750, 0.500], [0.875, 0.977, 0.750], [0.727, 0.125, 0.250], [0.023, 0.625, 0.250], [0.375, 0.273, 0.750], [0.750, 0.250, 0.500], [0.000, 0.000, 0.000]], "raw_formation_energy_mev_per_atom": -597, "e_above_lowest_polymorph_ev_per_atom": 0.247, "crystal_system": "tetragonal", "sg": "I-42d, No. 122"}

=====

{"formula": "Ba2IrSe", "functional": "PBE-GGA", "state": "relaxed", "cell": [[3.942, 0.000, 0.000], [0.000, 3.942, -0.004], [0.000, 3.950, 7.787]], "species": ["Ba", "Ba", "Ir", "Se"], "frac_coords": [[0.000, 0.999, 0.001], [0.000, 0.501, 0.499], [0.500, 0.250, 0.250], [0.500, 0.750, 0.750]], "raw_formation_energy_mev_per_atom": -622, "crystal_system": "tetragonal", "sg": "P4/mmm, No. 123"}

=====

{"formula": "Ba6IrSe2", "functional": "PBE-GGA", "state": "relaxed", "cell": [[-3.890, 6.555, -0.683], [0.382, -0.626, -8.188], [-11.705, -6.947, 0.001]], "species": ["Ba", "Ba", "Ba", "Ba", "Ba", "Ba", "Ba", "Ba", "Ba", "Ba", "Ba", "Ba", "Ir", "Ir", "Se", "Se", "Se", "Se"], "frac_coords": [[0.733, 0.334, 0.162], [0.727, 0.809, 0.000], [0.770, 0.834, 0.337], [0.273, 0.191, 0.000], [0.767, 0.834, 0.662], [0.230, 0.166, 0.663], [0.270, 0.666, 0.163], [0.730, 0.334, 0.837], [0.227, 0.691, 0.500], [0.233, 0.166, 0.338], [0.267, 0.666, 0.838], [0.773, 0.309, 0.500], [0.000, 0.000, 0.500], [0.500, 0.500, 0.000], [0.498, 0.999, 0.828], [0.502, 0.001, 0.172], [0.998, 0.501, 0.672], [0.002, 0.499, 0.328]], "raw_formation_energy_mev_per_atom": -882, "crystal_system": "monoclinic", "sg": "P2_1/c, No. 14"}

=====

{"formula": "BaIrSe2", "functional": "PBE-GGA", "state": "relaxed", "cell": [[-3.750, -3.161, -6.374], [-0.140, -1.462, 4.871], [-3.581, 0.238, -0.031]], "species": ["Se", "Se", "Ir", "Ba"], "frac_coords": [[0.000, 0.000, 0.000], [0.500, 0.000, 0.500], [0.500, 0.500, 0.000], [0.000, 0.500, 0.500]], "raw_formation_energy_mev_per_atom": -117, "e_above_lowest_polymorph_ev_per_atom": 0.726, "crystal_system": "tetragonal", "sg": "P4/mmm, No. 123"}

=====

{"formula": "BaIr4Se", "functional": "PBE-GGA", "state": "relaxed", "cell": [[4.929, -1.323, -1.953], [3.037, -3.753, 2.560], [0.806, -4.893, -2.296]], "species": ["Ba", "Ir", "Ir", "Ir", "Ir", "Se"], "frac_coords": [[0.000, 0.000, 0.000], [0.875, 0.375, 0.375], [0.375, 0.375, 0.875], [0.375, 0.875, 0.375], [0.375, 0.375, 0.375], [0.750, 0.750, 0.750]], "raw_formation_energy_mev_per_atom": 493, "crystal_system": "cubic", "sg": "F-43m, No. 216"}

=====

{"formula": "Ba2IrSe", "functional": "PBE-GGA", "state": "relaxed", "cell": [[-1.066, 5.762, -3.924], [-6.662, 0.327, 2.291], [-1.651, 7.412, 4.995]], "species": ["Ba", "Ba", "Ba", "Ba", "Se", "Se", "Ir", "Ir"], "frac_coords": [[0.636, 0.125, 0.250], [0.875, 0.886, 0.750], [0.375, 0.364, 0.750], [0.114, 0.625, 0.250], [0.500, 0.500, 0.000], [0.250, 0.750, 0.500], [0.000, 0.000, 0.000], [0.750, 0.250, 0.500]], "raw_formation_energy_mev_per_atom": -312, "crystal_system": "tetragonal", "sg": "I-42d, No. 122"}

=====

{"formula": "BaIr2Se", "functional": "PBE-GGA", "state": "relaxed", "cell": [[-1.799, -1.021, 4.504], [-3.728, -3.227, 0.507], [0.824, -4.437, 2.051]], "species": ["Ir", "Ir", "Se", "Ba"], "frac_coords": [[0.000, 0.000, 0.000], [0.250, 0.250, 0.250], [0.750, 0.750, 0.750], [0.500, 0.500, 0.500]], "raw_formation_energy_mev_per_atom": 683, "crystal_system": "cubic", "sg": "F-43m, No. 216"}

=====

{"formula": "BaIr2Se", "functional": "PBE-GGA", "state": "relaxed", "cell": [[-3.418, -0.396, -3.667], [-4.806, -1.481, 0.000], [-6.435, 4.176, -1.200]], "species": ["Ba", "Se", "Ir", "Ir"], "frac_coords": [[0.250, 0.250, 0.250], [0.750, 0.750, 0.750], [0.415, 0.415, 0.731], [0.085, 0.085, 0.769]], "raw_formation_energy_mev_per_atom": -106, "crystal_system": "monoclinic", "sg": "C2/m, No. 12"}

=====

{"formula": "Ba3IrSe", "functional": "PBE-GGA", "state": "relaxed", "cell": [[5.962, 0.000, 0.000], [0.000, 5.962, 0.000], [0.000, 0.000, 5.962]], "species": ["Se", "Ba", "Ba", "Ba", "Ir"], "frac_coords": [[0.500, 0.500, 0.500], [0.000, 0.500, 0.000], [0.000, 0.000, 0.500], [0.500, 0.000, 0.000], [0.000, 0.000, 0.000]], "raw_formation_energy_mev_per_atom": -509, "e_above_lowest_polymorph_ev_per_atom": 0.000, "crystal_system": "cubic", "sg": "Pm-3m, No. 221"}

=====

{"formula": "BaIrSe", "functional": "PBE-GGA", "state": "relaxed", "cell": [[4.565, 0.000, 0.000], [2.247, 5.857, 0.000], [1.397, 2.245, 5.813]], "species": ["Ir", "Ir", "Ba", "Ba", "Se", "Se"], "frac_coords": [[0.951, 0.130, 0.854], [0.247, 0.751, 0.241], [0.572, 0.129, 0.359], [0.193, 0.581, 0.815], [0.839, 0.514, 0.449], [0.508, 0.984, 0.907]], "raw_formation_energy_mev_per_atom": -727, "e_above_lowest_polymorph_ev_per_atom": 0.089, "crystal_system": "triclinic", "sg": "P1, No. 1"}

=====

{"formula": "BaIrSe2", "functional": "PBE-GGA", "state": "relaxed", "cell": [[-1.542, 2.133, 3.353], [-1.283, -2.123, 3.467], [4.745, 0.413, 4.629]], "species": ["Ir", "Ba", "Se", "Se"], "frac_coords": [[0.250, 0.250, 0.250], [0.750, 0.750, 0.750], [0.530, 0.530, 0.409], [0.970, 0.970, 0.091]], "raw_formation_energy_mev_per_atom": -724, "e_above_lowest_polymorph_ev_per_atom": 0.119, "crystal_system": "trigonal", "sg": "R-3m, No. 166"}

=====

{"formula": "Ba2IrSe", "functional": "PBE-GGA", "state": "relaxed", "cell": [[-2.479, 3.682, 1.057], [-2.780, 1.857, -3.105], [-7.691, -2.879, 1.818]], "species": ["Se", "Ba", "Ba", "Ir"], "frac_coords": [[0.250, 0.250, 0.250], [0.501, 0.501, 0.498], [0.999, 0.999, 0.002], [0.750, 0.750, 0.750]], "raw_formation_energy_mev_per_atom": -602, "crystal_system": "monoclinic", "sg": "C2/m, No. 12"}

=====

{"formula": "BaIr2Se", "functional": "PBE-GGA", "state": "relaxed", "cell": [[5.178, 0.002, 0.006], [-2.603, 5.526, -0.007], [-0.029, 0.823, 2.898]], "species": ["Ir", "Ir", "Ba", "Se"], "frac_coords": [[0.500, 0.000, 0.500], [0.000, 0.000, 0.000], [0.500, 0.500, 0.000], [0.000, 0.500, 0.500]], "raw_formation_energy_mev_per_atom": 542, "crystal_system": "monoclinic", "sg": "C2/m, No. 12"}

=====

{"formula": "BaIrSe2", "functional": "PBE-GGA", "state": "relaxed", "cell": [[-1.810, 3.340, -0.508], [-1.596, -1.353, -3.212], [-5.324, -2.333, 3.629]], "species": ["Se", "Se", "Ba", "Ir"], "frac_coords": [[0.000, 0.000, 0.928], [0.500, 0.500, 0.236], [0.000, 0.000, 0.459], [0.500, 0.500, 0.876]], "raw_formation_energy_mev_per_atom": -311, "e_above_lowest_polymorph_ev_per_atom": 0.532, "crystal_system": "tetragonal", "sg": "P4mm, No. 99"}

=====

{"formula": "BaIrSe", "functional": "PBE-GGA", "state": "relaxed", "cell": [[5.267, 0.000, 0.000], [2.633, 4.561, 0.000], [2.633, 1.520, 4.300]], "species": ["Ir", "Ba", "Se"], "frac_coords": [[0.000, 0.000, 0.000], [0.750, 0.750, 0.750], [0.500, 0.500, 0.500]], "raw_formation_energy_mev_per_atom": 653, "e_above_lowest_polymorph_ev_per_atom": 1.468, "crystal_system": "cubic", "sg": "F-43m, No. 216"}

=====

{"formula": "BaIrSe", "functional": "PBE-GGA", "state": "relaxed", "cell": [[-0.449, -5.586, 3.450], [0.544, 1.007, -4.576], [8.763, -0.071, 1.026]], "species": ["Se", "Se", "Ba", "Ba", "Ir", "Ir"], "frac_coords": [[0.241, 0.482, 0.750], [0.241, 0.482, 0.250], [0.739, 0.478, 0.250], [0.739, 0.478, 0.750], [0.353, 0.706, 0.500], [0.353, 0.706, 0.000]], "raw_formation_energy_mev_per_atom": -398, "e_above_lowest_polymorph_ev_per_atom": 0.418, "crystal_system": "orthorhombic", "sg": "Amm2, No. 38"}

=====

{"formula": "BaIrSe", "functional": "PBE-GGA", "state": "relaxed", "cell": [[-3.629, 4.091, -2.798], [-5.724, 2.178, -0.474], [-0.242, 2.929, 2.193]], "species": ["Se", "Ba", "Ir"], "frac_coords": [[0.724, 0.724, 0.276], [0.998, 0.998, 0.002], [0.277, 0.277, 0.723]], "raw_formation_energy_mev_per_atom": -196, "e_above_lowest_polymorph_ev_per_atom": 0.620, "crystal_system": "tetragonal", "sg": "I4mm, No. 107"}

=====

{"formula": "BaIr2Se", "functional": "PBE-GGA", "state": "relaxed", "cell": [[3.077, 0.000, 0.000], [0.000, 5.180, 0.000], [0.000, 0.000, 5.210]], "species": ["Ir", "Ir", "Ba", "Se"], "frac_coords": [[0.500, 0.500, 0.000], [0.000, 0.000, 0.000], [0.000, 0.500, 0.500], [0.500, 0.000, 0.500]], "raw_formation_energy_mev_per_atom": 513, "crystal_system": "orthorhombic", "sg": "Pmmm, No. 47"}

=====

{"formula": "BaIrSe2", "functional": "PBE-GGA", "state": "relaxed", "cell": [[-4.191, -2.877, -0.746], [0.144, -3.945, -3.288], [-0.153, -4.823, 1.765]], "species": ["Ir", "Se", "Se", "Ba"], "frac_coords": [[0.750, 0.750, 0.750], [0.250, 0.250, 0.250], [0.000, 0.000, 0.000], [0.500, 0.500, 0.500]], "raw_formation_energy_mev_per_atom": 311, "e_above_lowest_polymorph_ev_per_atom": 1.155, "crystal_system": "cubic", "sg": "F-43m, No. 216"}

=====

{"formula": "Ba2IrSe", "functional": "PBE-GGA", "state": "relaxed", "cell": [[-0.800, -6.780, -0.915], [5.079, -4.301, -1.775], [-1.474, 5.043, 4.455]], "species": ["Ir", "Ba", "Ba", "Se"], "frac_coords": [[0.500, 0.500, 0.000], [0.250, 0.750, 0.500], [0.000, 0.000, 0.000], [0.750, 0.250, 0.500]], "raw_formation_energy_mev_per_atom": -394, "crystal_system": "tetragonal", "sg": "I-4m2, No. 119"}

=====

{"formula": "BaIr2Se2", "functional": "PBE-GGA", "state": "relaxed", "cell": [[-3.670, -0.185, -1.846], [0.019, -4.095, 0.373], [-4.703, -1.637, 4.935]], "species": ["Se", "Se", "Ir", "Ir", "Ba"], "frac_coords": [[0.367, 0.367, 0.266], [0.633, 0.633, 0.734], [0.250, 0.750, 0.500], [0.750, 0.250, 0.500], [0.000, 0.000, 0.000]], "raw_formation_energy_mev_per_atom": -358, "crystal_system": "tetragonal", "sg": "I4/mmm, No. 139"}

=====

{"formula": "BaSi2IrSe8", "functional": "PBE-GGA", "state": "relaxed", "cell": [[6.113, 0.000, 0.000], [-3.056, 5.294, 0.000], [0.000, 0.000, 9.435]], "species": ["Se", "Se", "Se", "Se", "Se", "Se", "Se", "Se", "Si", "Si", "Ba", "Ir"], "frac_coords": [[0.701, 0.661, 0.664], [0.040, 0.701, 0.336], [0.299, 0.339, 0.336], [0.960, 0.299, 0.664], [0.667, 0.333, 0.036], [0.661, 0.960, 0.336], [0.333, 0.667, 0.964], [0.339, 0.040, 0.664], [0.667, 0.333, 0.276], [0.333, 0.667, 0.724], [0.000, 0.000, 0.000], [0.000, 0.000, 0.500]], "raw_formation_energy_mev_per_atom": -498, "crystal_system": "trigonal", "sg": "P-3, No. 147"}

=====

{"formula": "Ba2SiIrSe", "functional": "PBE-GGA", "state": "relaxed", "cell": [[-1.025, -5.586, -2.138], [2.221, -2.370, 5.126], [-4.158, 0.062, 1.831]], "species": ["Si", "Se", "Ba", "Ba", "Ir"], "frac_coords": [[0.000, 0.000, 0.500], [0.500, 0.500, 0.500], [0.500, 0.000, 0.000], [0.000, 0.500, 0.000], [0.000, 0.000, 0.000]], "raw_formation_energy_mev_per_atom": -772, "crystal_system": "tetragonal", "sg": "P4/mmm, No. 123"}